No. 1
# Y2AsSe

An optimized crystal structure of Y2AsSe (PBE, Alexandria via LeMat-Bulk).

Unit cell a=7.241 b=7.341 c=3.552 alpha=90.00 beta=100.18 gamma=90.00
Space group C2/m (No. 12)
Unique sites:
Y (0.250, 0.250, 0.000) (multiplicity 4)
As (0.000, 0.000, 0.500) (multiplicity 2)
Se (0.000, 0.500, 0.500) (multiplicity 2)

## Properties
D(E_F) = 0.52 states/eV per atom
formation energy without anion corrections = -1315 meV/atom
distance to the lowest polymorph of the same formula = 0.410 eV per atom
uncorrected energy = -6.581 eV/atom
ρ = 5.9 g/cm3

***

No. 2
# CaAg2Os

An optimized crystal structure of CaAg2Os (PBE, Alexandria via LeMat-Bulk).

Unit cell a=10.248 b=2.789 c=5.302 alpha=90.00 beta=98.55 gamma=90.00
Space group C2/m (No. 12)
Unique sites:
Ca (0.000, 0.000, 0.000) (multiplicity 2)
Ag (0.237, 0.000, 0.731) (multiplicity 4)
Os (0.000, 0.500, 0.500) (multiplicity 2)

## Properties
D(E_F) = 0.91 states/eV per atom
energy relative to the elements = 0.44 eV per atom
distance to the lowest polymorph of the same formula = 0.000 eV per atom
uncorrected energy = -4.294 eV/atom
ρ = 9.9 g/cm3

***

No. 3
# Pm2FeTc3

An optimized crystal structure of Pm2FeTc3 (PBE, Alexandria via LeMat-Bulk).

Unit cell a=5.3239 b=5.3239 c=13.8299 alpha=90.00 beta=90.00 gamma=120.00
Space group R-3m (No. 166, hexagonal axes)
Unique sites:
Pm (0.0000, 0.0000, 0.1238) (multiplicity 6)
Fe (0.0000, 0.0000, 0.5000) (multiplicity 3)
Tc (0.0000, 0.5000, 0.0000) (multiplicity 9)

## Properties
D(E_F) = 1.03 states/eV per atom
energy relative to the elements = -0.01 eV per atom
uncorrected energy = -8.188 eV/atom
ρ = 9.4 g/cm3

***

no.,spin magnetization (μB/atom)
1,0.000
2,0.000
3,0.491